Entry 1:
Computed, not measured: crystalline NiPdSe at its relaxed geometry at the GGA-PBE level of DFT.

```
NiPdSe
1.0
3.986 0.000 0.000
-1.993 3.452 0.000
0.000 0.000 3.337
Ni Pd Se
1 1 1
Direct
0.000 0.000 0.000
0.667 0.333 0.499
0.333 0.667 0.998
```

Results
The calculation puts the formation energy from raw total energies at -0.059 eV per atom. The calculation puts the size of the total moment at 0.0 Bohr magnetons per cell.

Entry 2:
Computed, not measured: crystalline Mg12Sc2Ag at its relaxed geometry at the GGA-PBE level of DFT.

```
Mg12Sc2Ag
1.0
6.016 0.000 0.000
0.000 6.016 0.000
0.000 0.000 20.070
Mg Sc Ag
24 4 2
Direct
0.001 0.501 0.090
0.001 0.999 0.910
0.078 0.578 0.433
0.078 0.922 0.567
0.250 0.250 0.196
0.250 0.250 0.333
0.250 0.250 0.667
0.250 0.250 0.804
0.422 0.578 0.567
0.422 0.922 0.433
0.499 0.501 0.910
0.499 0.999 0.090
0.501 0.001 0.910
0.501 0.499 0.090
0.578 0.078 0.567
0.578 0.422 0.433
0.750 0.750 0.196
0.750 0.750 0.333
0.750 0.750 0.667
0.750 0.750 0.804
0.922 0.078 0.433
0.922 0.422 0.567
0.999 0.001 0.090
0.999 0.499 0.910
0.250 0.750 0.264
0.250 0.750 0.736
0.750 0.250 0.264
0.750 0.250 0.736
0.250 0.750 0.000
0.750 0.250 0.000
```

Results
The value obtained for the calculated formation energy is 0.14 eV/atom. The calculation puts the size of the total moment at 0.0 Bohr magnetons per cell.

Entry 3:
Computed, not measured: crystalline Tb7PmDy5 at its relaxed geometry at the GGA-PBE level of DFT.

```
Tb7PmDy5
1.0
-3.340 5.570 5.792
3.340 -5.570 5.792
3.340 5.570 -5.792
Tb Pm Dy
7 1 5
Direct
0.000 0.000 0.000
0.227 0.557 0.670
0.305 0.305 0.000
0.306 0.806 0.500
0.387 0.057 0.330
0.727 0.057 0.670
0.887 0.557 0.330
0.610 0.610 0.000
0.037 0.041 0.463
0.037 0.574 0.996
0.578 0.041 0.004
0.578 0.574 0.537
0.808 0.308 0.500
```

Results
The value obtained for the calculated formation energy is 0.25 eV/atom. The calculation puts the size of the total moment at 0.0 Bohr magnetons per cell.

Number 1: Fermi-level density of states 2.16 states/eV/f.u.. Number 2: Fermi-level density of states 8.48 states/eV/f.u.. Number 3: Fermi-level density of states 23.06 states/eV/f.u..